No. 1
The following is a DFT calculation (PBE-GGA) of crystalline LaDyTaN3 at its relaxed geometry.

Output
Density = 8.23 g/cm³
Space-group type = P2_1/m
Formation energy from raw total energies = -6.70 eV per formula unit

Lattice parameters (Å, degrees): 3.489 7.570 8.026 93.23 90.00 90.00
Element x y z (fractional)
Ta (0.250, 0.123, 0.581)
Ta (0.750, 0.877, 0.419)
N (0.250, 0.836, 0.544)
N (0.750, 0.389, 0.124)
N (0.750, 0.164, 0.456)
N (0.250, 0.150, 0.828)
N (0.750, 0.850, 0.172)
N (0.250, 0.611, 0.876)
La (0.750, 0.838, 0.833)
La (0.250, 0.162, 0.167)
Dy (0.750, 0.388, 0.848)
Dy (0.250, 0.612, 0.152)

---

No. 2
The following is a DFT calculation (PBE-GGA) of crystalline La2DyTe2N2 at its relaxed geometry.

Output
Density = 7.22 g/cm³
Space-group type = I4/mmm
Formation energy from raw total energies = -9.25 eV per formula unit

Lattice parameters (Å, degrees): 4.476 4.476 8.894 104.57 104.57 90.00
Element x y z (fractional)
La (0.396, 0.396, 0.793)
La (0.604, 0.604, 0.207)
N (0.500, 0.000, 0.000)
N (0.000, 0.500, 0.000)
Dy (0.000, 0.000, 0.000)
Te (0.185, 0.185, 0.369)
Te (0.815, 0.815, 0.631)

---

No. 3
The following is a DFT calculation (PBE-GGA) of crystalline LaDyThN3 at its relaxed geometry.

Output
Density = 9.34 g/cm³
Space-group type = P2_1/m
Formation energy from raw total energies = -8.68 eV per formula unit

Lattice parameters (Å, degrees): 3.625 6.200 9.298 101.85 90.00 90.00
Element x y z (fractional)
N (0.250, 0.451, 0.840)
N (0.750, 0.040, 0.153)
N (0.750, 0.549, 0.160)
N (0.750, 0.238, 0.508)
N (0.250, 0.762, 0.492)
N (0.250, 0.960, 0.847)
La (0.750, 0.652, 0.692)
La (0.250, 0.348, 0.308)
Th (0.250, 0.766, 0.047)
Th (0.750, 0.234, 0.953)
Dy (0.250, 0.143, 0.636)
Dy (0.750, 0.857, 0.364)

---

No. 4
The following is a DFT calculation (PBE-GGA) of crystalline La3DyTh2N6 at its relaxed geometry.

Output
Density = 8.90 g/cm³
Space-group type = C2/m
Formation energy from raw total energies = -18.14 eV per formula unit

Lattice parameters (Å, degrees): 6.345 6.345 6.389 99.50 99.50 119.99
Element x y z (fractional)
Dy (0.000, 0.000, 0.000)
Th (0.333, 0.667, 0.000)
Th (0.667, 0.333, 0.000)
N (0.924, 0.591, 0.771)
N (0.256, 0.256, 0.770)
N (0.744, 0.744, 0.230)
N (0.591, 0.924, 0.771)
N (0.409, 0.076, 0.229)
N (0.076, 0.409, 0.229)
La (0.835, 0.165, 0.500)
La (0.165, 0.835, 0.500)
La (0.500, 0.500, 0.500)

---

No. 5
The following is a DFT calculation (PBE-GGA) of crystalline La4DyTh3N8 at its relaxed geometry.

Output
Density = 8.98 g/cm³
Space-group type = R-3m
Formation energy from raw total energies = -24.20 eV per formula unit

Lattice parameters (Å, degrees): 7.347 7.379 7.346 119.85 120.00 90.00
Element x y z (fractional)
Th (0.500, 0.500, 0.000)
Th (0.500, 0.500, 0.500)
Th (0.000, 0.500, 0.500)
N (0.757, 0.271, 0.014)
N (0.743, 0.729, 0.986)
N (0.743, 0.728, 0.485)
N (0.257, 0.272, 0.515)
N (0.243, 0.729, 0.486)
N (0.257, 0.271, 0.014)
N (0.243, 0.729, 0.986)
N (0.757, 0.271, 0.514)
La (0.000, 0.000, 0.500)
La (0.000, 0.000, 0.000)
La (0.500, 0.000, 0.500)
La (0.500, 0.000, 0.000)
Dy (0.000, 0.500, 0.000)

---

No. 6
The following is a DFT calculation (PBE-GGA) of crystalline LaDy2ThN4 at its relaxed geometry.

Output
Density = 9.53 g/cm³
Space-group type = P2/m
Formation energy from raw total energies = -12.57 eV per formula unit

Lattice parameters (Å, degrees): 3.592 6.220 6.211 109.34 90.00 90.00
Element x y z (fractional)
La (0.500, 0.500, 0.000)
Dy (0.000, 0.500, 0.500)
Dy (0.500, 0.000, 0.500)
N (0.500, 0.244, 0.257)
N (0.000, 0.763, 0.260)
N (0.000, 0.237, 0.740)
N (0.500, 0.756, 0.743)
Th (0.000, 0.000, 0.000)

---

No. 7
The following is a DFT calculation (PBE-GGA) of crystalline LaDyTiN3 at its relaxed geometry.

Output
Density = 6.41 g/cm³
Space-group type = P2_1/m
Formation energy from raw total energies = -8.03 eV per formula unit

Lattice parameters (Å, degrees): 3.587 7.356 7.795 99.65 90.00 90.00
Element x y z (fractional)
N (0.250, 0.832, 0.479)
N (0.250, 0.592, 0.861)
N (0.750, 0.884, 0.151)
N (0.750, 0.408, 0.139)
N (0.250, 0.116, 0.849)
N (0.750, 0.168, 0.521)
Dy (0.750, 0.364, 0.845)
Dy (0.250, 0.636, 0.155)
Ti (0.250, 0.102, 0.599)
Ti (0.750, 0.898, 0.401)
La (0.250, 0.177, 0.178)
La (0.750, 0.823, 0.822)

---

No. 8
The following is a DFT calculation (PBE-GGA) of crystalline La2DyTlN at its relaxed geometry.

Output
Density = 8.52 g/cm³
Space-group type = P4/mmm
Formation energy from raw total energies = -4.24 eV per formula unit

Lattice parameters (Å, degrees): 4.873 5.133 5.133 90.00 90.00 90.00
Element x y z (fractional)
Tl (0.500, 0.500, 0.500)
La (0.000, 0.000, 0.500)
La (0.000, 0.500, 0.000)
N (0.000, 0.000, 0.000)
Dy (0.500, 0.000, 0.000)

---

No. 9
The following is a DFT calculation (PBE-GGA) of crystalline La2DyUN5 at its relaxed geometry.

Output
Density = 8.12 g/cm³
Space-group type = P4/mmm
Formation energy from raw total energies = -11.58 eV per formula unit

Lattice parameters (Å, degrees): 4.109 4.109 9.064 90.00 90.00 90.00
Element x y z (fractional)
N (0.500, 0.000, 0.500)
N (0.000, 0.500, 0.500)
N (0.500, 0.500, 0.000)
N (0.000, 0.000, 0.751)
N (0.000, 0.000, 0.249)
Dy (0.000, 0.000, 0.000)
La (0.500, 0.500, 0.268)
La (0.500, 0.500, 0.732)
U (0.000, 0.000, 0.500)

---

No. 10
The following is a DFT calculation (PBE-GGA) of crystalline La2DyUN4 at its relaxed geometry.

Output
Density = 9.44 g/cm³
Space-group type = P2/m
Formation energy from raw total energies = -11.83 eV per formula unit

Lattice parameters (Å, degrees): 3.565 6.068 6.303 108.72 90.00 90.00
Site moments in Bohr magnetons follow the coordinates.
Element x y z (fractional)
La (0.000, 0.500, 0.500)  0.01
La (0.500, 0.000, 0.500)  0.00
N (0.000, 0.237, 0.793)  0.00
N (0.000, 0.763, 0.207)  0.00
N (0.500, 0.218, 0.203)  0.00
N (0.500, 0.782, 0.797)  0.00
U (0.000, 0.000, 0.000)  0.09
Dy (0.500, 0.500, 0.000)  0.00

---

No. 11
The following is a DFT calculation (PBE-GGA) of crystalline LaDy2WN4 at its relaxed geometry.

Output
Density = 9.38 g/cm³
Space-group type = Cmcm
Formation energy from raw total energies = -9.23 eV per formula unit

Lattice parameters (Å, degrees): 3.438 6.250 12.055 90.00 90.00 105.97
Element x y z (fractional)
W (0.175, 0.349, 0.250)
W (0.825, 0.651, 0.750)
Dy (0.371, 0.742, 0.539)
Dy (0.371, 0.742, 0.961)
Dy (0.629, 0.258, 0.461)
Dy (0.629, 0.258, 0.039)
N (0.000, 0.000, 0.000)
N (0.424, 0.848, 0.750)
N (0.262, 0.525, 0.382)
N (0.576, 0.152, 0.250)
N (0.738, 0.475, 0.882)
N (0.262, 0.525, 0.118)
N (0.738, 0.475, 0.618)
N (0.000, 0.000, 0.500)
La (0.083, 0.165, 0.750)
La (0.917, 0.835, 0.250)

---

No. 12
The following is a DFT calculation (PBE-GGA) of crystalline LaDyYN3 at its relaxed geometry.

Output
Density = 7.35 g/cm³
Space-group type = P2_1/m
Formation energy from raw total energies = -8.47 eV per formula unit

Lattice parameters (Å, degrees): 3.565 6.100 9.181 101.82 90.00 90.00
Element x y z (fractional)
N (0.250, 0.968, 0.848)
N (0.250, 0.757, 0.487)
N (0.250, 0.459, 0.833)
N (0.750, 0.243, 0.513)
N (0.750, 0.032, 0.152)
N (0.750, 0.541, 0.167)
Dy (0.250, 0.146, 0.641)
Dy (0.750, 0.854, 0.359)
La (0.750, 0.654, 0.700)
La (0.250, 0.346, 0.300)
Y (0.750, 0.231, 0.956)
Y (0.250, 0.769, 0.044)

---

Q: Number 5 is which compound?
A: La4DyTh3N8